First-principles (GGA-PBE) data for Sm3Pu2ScSe6 after structural relaxation, as listed in the Alexandria database.

Computed properties:
As for the raw formation energy: -1691 meV/atom.

Structure (CIF):
```
data_Sm3Pu2ScSe6
_symmetry_space_group_name_H-M 'C 1 2/m 1'
_symmetry_Int_Tables_number 12
_cell_length_a 17.9484
_cell_length_b 4.0996
_cell_length_c 8.2644
_cell_angle_alpha 90.00
_cell_angle_beta 103.64
_cell_angle_gamma 90.00
loop_
_symmetry_equiv_pos_as_xyz
'x,y,z'
'-x,-y,-z'
'-x,y,-z'
'x,-y,z'
'x+1/2,y+1/2,z'
'-x+1/2,-y+1/2,-z'
'-x+1/2,y+1/2,-z'
'x+1/2,-y+1/2,z'
loop_
_atom_site_label
_atom_site_fract_x
_atom_site_fract_y
_atom_site_fract_z
Sm1 0.0000 0.0000 0.0000
Sm2 0.1692 0.5000 0.3346
Pu1 0.1647 0.5000 0.8315
Sc1 0.0000 0.0000 0.5000
Se1 0.0014 0.5000 0.2655
Se2 0.1600 0.0000 0.5816
Se3 0.1680 0.0000 0.0811
```



First-principles (GGA-PBE) data for ErPuFeOs after structural relaxation, as listed in the Alexandria database.

Computed properties:
Its energy relative to the elements is -0.06 eV/atom.

Structure (CIF):
```
data_ErPuFeOs
_symmetry_space_group_name_H-M 'F -4 3 m'
_symmetry_Int_Tables_number 216
_symmetry_space_group_name_Hall 'F -4 2 3'
_cell_length_a 6.7318
_cell_length_b 6.7318
_cell_length_c 6.7318
_cell_angle_alpha 90.00
_cell_angle_beta 90.00
_cell_angle_gamma 90.00
loop_
_atom_site_label
_atom_site_fract_x
_atom_site_fract_y
_atom_site_fract_z
Er1 0.0000 0.0000 0.0000
Pu1 0.0000 0.0000 0.5000
Fe1 0.2500 0.2500 0.2500
Os1 0.2500 0.2500 0.7500
```



Final energy for every record listed, in sequence, given in eV per cell: -180.71; -155.38.